#one
PrErTmMg after structural relaxation, computed with GGA-PBE.

The structure in POSCAR format:
```
PrErTmMg
1.0
3.588 0.000 0.000
0.000 3.588 0.000
0.000 0.000 9.380
Pr Er Tm Mg
1 1 1 1
Cartesian
0.000 0.000 0.790 Pr
1.794 1.794 7.610 Er
0.000 0.000 5.228 Tm
1.794 1.794 3.112 Mg
```

Summary:
Space-group type: P4mm
Crystal system: tetragonal
Spin magnetization in μB per formula unit: 0.000

***

#two
PrErTmMg after structural relaxation, computed with GGA-PBE.

The structure in POSCAR format:
```
PrErTmMg
1.0
5.533 0.000 0.000
2.766 4.792 0.000
2.766 1.597 4.518
Pr Mg Tm Er
1 1 1 1
Cartesian
8.299 4.792 3.388 Pr
5.533 3.194 2.259 Mg
0.000 0.000 0.000 Tm
2.766 1.597 1.129 Er
```

Summary:
Space-group type: F-43m
Crystal system: cubic
Spin magnetization in μB per formula unit: 0.001

***

Most stable: #one (next structure +52 meV per atom)

***

#one
PrYErMg after structural relaxation, computed with GGA-PBE.

The structure in POSCAR format:
```
PrYErMg
1.0
-3.200 4.391 -1.218
-5.528 -0.339 0.572
-2.554 2.801 4.079
Pr Y Mg Er
1 1 1 1
Cartesian
-2.820 1.713 0.858 Pr
-8.461 5.139 2.575 Y
0.000 0.000 0.000 Mg
-5.641 3.426 1.716 Er
```

Summary:
Space-group type: F-43m
Crystal system: cubic
Spin magnetization in μB per formula unit: 0.000

***

#two
PrYErMg after structural relaxation, computed with GGA-PBE.

The structure in POSCAR format:
```
PrYErMg
1.0
-3.432 -0.794 1.144
-0.928 -0.967 -3.453
2.501 -8.392 1.678
Pr Y Er Mg
1 1 1 1
Cartesian
0.187 -0.627 0.125 Pr
-0.205 -7.508 0.171 Y
-1.300 -3.834 -0.564 Er
1.422 -4.770 0.954 Mg
```

Summary:
Space-group type: P4mm
Crystal system: tetragonal
Spin magnetization in μB per formula unit: 0.000

***

Most stable: #two (next structure +56 meV per atom)

***

#one
ErMg2Pt3 after structural relaxation, computed with GGA-PBE.

The structure in POSCAR format:
```
ErMg2Pt3
1.0
4.639 0.000 0.000
-2.320 4.018 0.000
0.000 0.000 5.731
Er Mg Pt
1 2 3
Cartesian
0.000 0.000 0.000 Er
2.320 1.339 1.959 Mg
0.000 2.678 3.772 Mg
0.000 0.000 2.865 Pt
2.320 1.339 4.691 Pt
0.000 2.678 1.039 Pt
```

Summary:
Space-group type: P-3m1
Crystal system: trigonal
Spin magnetization in μB per formula unit: 0.000

***

#two
ErMg2Pt3 after structural relaxation, computed with GGA-PBE.

The structure in POSCAR format:
```
ErMg2Pt3
1.0
-2.663 -1.125 1.751
2.034 -2.009 1.803
1.209 6.790 6.203
Er Mg Pt
1 2 3
Cartesian
0.290 1.828 4.878 Er
0.707 4.167 7.014 Mg
-0.126 -0.510 2.742 Mg
0.000 0.000 0.000 Pt
0.824 4.628 4.227 Pt
0.385 2.163 1.975 Pt
```

Summary:
Space-group type: P4/mmm
Crystal system: tetragonal
Spin magnetization in μB per formula unit: 0.000

***

Most stable: #two (next structure +15 meV per atom)

***

#one
Er4MgRh after structural relaxation, computed with GGA-PBE.

The structure in POSCAR format:
```
Er4MgRh
1.0
-4.690 -8.368 0.624
4.856 -8.281 -0.505
0.977 -5.485 7.834
Er Mg Rh
16 4 4
Cartesian
0.397 -7.682 2.760 Er
0.994 -11.037 7.553 Er
3.368 -12.748 2.451 Er
-2.473 -12.801 3.142 Er
-2.715 -9.382 1.882 Er
3.858 -12.753 6.071 Er
3.248 -9.327 1.177 Er
-2.105 -12.807 6.776 Er
0.825 -7.581 6.386 Er
0.319 -14.554 1.567 Er
-1.091 -15.601 4.723 Er
2.806 -17.600 7.206 Er
2.444 -15.569 4.305 Er
-0.729 -17.632 7.624 Er
1.007 -14.534 7.393 Er
0.707 -18.668 4.536 Er
0.663 -12.832 4.611 Mg
0.351 -11.083 2.112 Mg
-0.886 -10.191 4.772 Mg
2.158 -10.163 4.412 Mg
0.162 -3.137 1.127 Rh
0.585 -5.513 4.520 Rh
2.265 -6.723 0.909 Rh
-1.869 -6.761 1.397 Rh
```

Summary:
Space-group type: F-43m
Crystal system: cubic
Spin magnetization in μB per formula unit: 0.000

***

#two
Er4MgRh after structural relaxation, computed with GGA-PBE.

The structure in POSCAR format:
```
Er4MgRh
1.0
-1.627 4.471 -0.162
-4.105 -1.423 1.956
2.977 1.346 7.230
Er Mg Rh
4 1 1
Cartesian
-4.039 1.215 3.982 Er
-2.814 1.769 6.960 Er
0.052 0.246 6.062 Er
-1.173 -0.308 3.086 Er
0.115 2.878 8.108 Mg
-2.613 -0.743 5.552 Rh
```

Summary:
Space-group type: P4/mmm
Crystal system: tetragonal
Spin magnetization in μB per formula unit: 0.000

***

Most stable: #one (next structure +302 meV per atom)

***

#one
Er2MgRh3 after structural relaxation, computed with GGA-PBE.

The structure in POSCAR format:
```
Er2MgRh3
1.0
4.676 0.000 0.000
-2.338 4.050 0.000
0.000 0.000 11.468
Er Mg Rh
4 2 6
Cartesian
0.000 0.000 5.734 Er
0.000 2.700 2.057 Er
2.338 1.350 9.411 Er
0.000 0.000 0.000 Er
0.000 2.700 7.607 Mg
2.338 1.350 3.861 Mg
0.000 2.700 4.821 Rh
2.338 1.350 0.987 Rh
0.000 0.000 8.568 Rh
0.000 0.000 2.901 Rh
0.000 2.700 10.482 Rh
2.338 1.350 6.648 Rh
```

Summary:
Space-group type: P-3m1
Crystal system: trigonal
Spin magnetization in μB per formula unit: 0.000

***

#two
Er2MgRh3 after structural relaxation, computed with GGA-PBE.

The structure in POSCAR format:
```
Er2MgRh3
1.0
3.324 0.000 0.000
0.000 3.324 0.000
0.000 0.000 9.807
Er Mg Rh
2 1 3
Cartesian
1.662 1.662 8.060 Er
1.662 1.662 1.747 Er
1.662 1.662 4.904 Mg
0.000 0.000 0.000 Rh
0.000 0.000 6.417 Rh
0.000 0.000 3.390 Rh
```

Summary:
Space-group type: P4/mmm
Crystal system: tetragonal
Spin magnetization in μB per formula unit: 0.000

***

Most stable: #one (next structure +20 meV per atom)

***

#one
ErMgTlRh after structural relaxation, computed with GGA-PBE.

The structure in POSCAR format:
```
ErMgTlRh
1.0
-2.940 1.046 -1.052
-1.482 -2.165 1.990
-0.142 5.386 5.753
Er Mg Tl Rh
1 1 1 1
Cartesian
-2.320 3.588 4.899 Er
-2.263 1.416 2.579 Mg
-0.013 0.478 0.511 Tl
-0.079 3.012 3.217 Rh
```

Summary:
Space-group type: P4mm
Crystal system: tetragonal
Spin magnetization in μB per formula unit: 0.000

***

#two
ErMgTlRh after structural relaxation, computed with GGA-PBE.

The structure in POSCAR format:
```
ErMgTlRh
1.0
4.902 0.000 0.000
2.451 4.246 0.000
2.451 1.415 4.003
Tl Rh Mg Er
1 1 1 1
Cartesian
0.000 0.000 0.000 Tl
4.902 2.830 2.001 Rh
7.353 4.246 3.002 Mg
2.451 1.415 1.001 Er
```

Summary:
Space-group type: F-43m
Crystal system: cubic
Spin magnetization in μB per formula unit: 0.000

***

Most stable: #one (next structure +123 meV per atom)

***

#one
SmErMgRu after structural relaxation, computed with GGA-PBE.

The structure in POSCAR format:
```
SmErMgRu
1.0
3.423 0.000 0.000
0.000 3.423 0.000
0.000 0.000 8.454
Sm Er Mg Ru
1 1 1 1
Cartesian
1.712 1.712 6.503 Sm
1.712 1.712 3.163 Er
0.000 0.000 0.665 Mg
0.000 0.000 4.757 Ru
```

Summary:
Space-group type: P4mm
Crystal system: tetragonal
Spin magnetization in μB per formula unit: 0.000

***

#two
SmErMgRu after structural relaxation, computed with GGA-PBE.

The structure in POSCAR format:
```
SmErMgRu
1.0
-1.180 -0.166 -4.908
0.050 -4.410 -2.461
-4.341 -2.114 -1.483
Ru Mg Sm Er
1 1 1 1
Cartesian
-4.103 -5.017 -6.639 Ru
-1.368 -1.672 -2.213 Mg
0.000 0.000 0.000 Sm
-2.735 -3.345 -4.426 Er
```

Summary:
Space-group type: F-43m
Crystal system: cubic
Spin magnetization in μB per formula unit: 0.000

***

Most stable: #one (next structure +93 meV per atom)

***

#one
TbErMgRu after structural relaxation, computed with GGA-PBE.

The structure in POSCAR format:
```
TbErMgRu
1.0
3.418 0.000 0.000
0.000 3.418 0.000
0.000 0.000 8.215
Tb Er Mg Ru
1 1 1 1
Cartesian
1.709 1.709 6.344 Tb
1.709 1.709 3.042 Er
0.000 0.000 0.613 Mg
0.000 0.000 4.662 Ru
```

Summary:
Space-group type: P4mm
Crystal system: tetragonal
Spin magnetization in μB per formula unit: 0.000

***

#two
TbErMgRu after structural relaxation, computed with GGA-PBE.

The structure in POSCAR format:
```
TbErMgRu
1.0
5.010 0.000 0.000
2.505 4.339 0.000
2.505 1.446 4.091
Ru Mg Tb Er
1 1 1 1
Cartesian
7.515 4.339 3.068 Ru
2.505 1.446 1.023 Mg
5.010 2.892 2.045 Tb
0.000 0.000 0.000 Er
```

Summary:
Space-group type: F-43m
Crystal system: cubic
Spin magnetization in μB per formula unit: 0.000

***

Most stable: #one (next structure +96 meV per atom)

***

#one
Er2MgS4 after structural relaxation, computed with GGA-PBE.

The structure in POSCAR format:
```
Er2MgS4
1.0
7.556 -0.573 0.000
-2.813 7.037 0.000
-2.372 -3.232 6.431
Er Mg S
4 2 8
Cartesian
3.102 3.939 3.045 Er
1.862 -2.609 6.260 Er
0.455 0.909 3.386 Er
-0.676 4.225 0.171 Er
0.000 0.000 0.000 Mg
3.778 -0.287 3.216 Mg
2.710 1.544 1.899 S
2.217 -0.188 5.159 S
-1.712 -0.183 4.532 S
1.528 5.291 1.272 S
-2.251 5.577 1.944 S
-1.068 1.830 1.317 S
0.811 3.331 4.487 S
-3.118 3.335 5.114 S
```

Summary:
Space-group type: I-42d
Crystal system: tetragonal
Spin magnetization in μB per formula unit: 0.000

***

#two
Er2MgS4 after structural relaxation, computed with GGA-PBE.

The structure in POSCAR format:
```
Er2MgS4
1.0
7.847 0.000 0.000
3.924 6.796 0.000
3.924 2.265 6.407
Er Mg S
4 2 8
Cartesian
3.924 4.531 0.801 Er
3.924 2.265 4.005 Er
5.886 1.133 0.801 Er
1.962 1.133 0.801 Er
7.847 4.531 3.204 Mg
11.771 6.796 4.806 Mg
13.814 7.976 5.640 S
9.728 7.976 5.640 S
11.771 4.437 5.640 S
11.771 6.796 2.303 S
7.847 4.531 5.706 S
7.847 6.890 2.370 S
9.891 3.351 2.370 S
5.804 3.351 2.370 S
```

Summary:
Space-group type: Fd-3m
Crystal system: cubic
Spin magnetization in μB per formula unit: 0.000

***

Most stable: #two (next structure +46 meV per atom)

***

#one
Er2MgS4 after structural relaxation, computed with GGA-PBE.

The structure in POSCAR format:
```
Er2MgS4
1.0
7.278 0.000 0.000
0.000 7.851 0.000
0.000 0.000 11.364
Er Mg S
8 4 16
Cartesian
5.458 0.373 3.511 Er
1.819 7.478 7.853 Er
1.819 3.553 9.193 Er
5.458 4.299 2.171 Er
1.819 0.521 0.204 Er
5.458 7.330 11.161 Er
5.458 3.405 5.886 Er
1.819 4.446 5.478 Er
1.819 1.392 4.583 Mg
5.458 6.459 6.781 Mg
5.458 2.533 10.265 Mg
1.819 5.318 1.099 Mg
3.647 0.981 9.569 S
3.630 6.870 1.795 S
3.630 2.945 3.887 S
3.647 4.907 7.477 S
7.269 4.907 7.477 S
0.008 2.945 3.887 S
0.008 6.870 1.795 S
7.269 0.981 9.569 S
1.819 6.986 5.186 S
5.458 0.865 6.179 S
5.458 4.790 10.868 S
1.819 3.061 0.496 S
5.458 1.791 1.241 S
1.819 6.060 10.123 S
1.819 2.134 6.924 S
5.458 5.717 4.441 S
```

Summary:
Space-group type: Pnma
Crystal system: orthorhombic
Spin magnetization in μB per formula unit: 0.000

***

#two
Er2MgS4 after structural relaxation, computed with GGA-PBE.

The structure in POSCAR format:
```
Er2MgS4
1.0
7.314 -0.124 -0.033
-0.144 8.689 0.060
-1.272 -2.077 11.379
Er Mg S
8 4 16
Cartesian
5.428 1.078 7.429 Er
0.470 5.410 3.977 Er
4.192 -1.092 11.322 Er
1.706 7.581 0.084 Er
4.127 3.121 3.782 Er
1.771 3.367 7.624 Er
4.092 7.672 4.078 Er
1.806 -1.184 7.327 Er
5.320 5.351 7.868 Mg
0.578 1.138 3.538 Mg
4.205 3.023 11.237 Mg
1.693 3.466 0.168 Mg
5.386 1.094 10.009 S
0.512 5.395 1.397 S
5.234 5.300 10.253 S
0.664 1.189 1.152 S
5.636 1.118 4.534 S
0.262 5.371 6.871 S
5.234 5.386 4.120 S
0.664 1.103 7.286 S
4.385 -1.279 6.867 S
1.513 7.767 4.539 S
4.255 3.358 6.873 S
1.643 3.131 4.533 S
3.982 7.890 1.545 S
1.916 -1.401 9.861 S
4.162 3.151 1.200 S
1.736 3.338 10.206 S
```

Summary:
Space-group type: P-1
Crystal system: triclinic
Spin magnetization in μB per formula unit: 0.000

***

Most stable: #two (next structure +73 meV per atom)

***

#one
Er2MgS4 after structural relaxation, computed with GGA-PBE.

The structure in POSCAR format:
```
Er2MgS4
1.0
-0.729 -3.057 5.702
0.617 -0.626 -6.451
12.710 -0.645 1.278
Er Mg S
4 2 8
Cartesian
10.098 -2.059 -0.819 Er
3.421 -2.316 1.441 Er
7.840 -1.341 -4.010 Er
0.515 -2.771 4.113 Er
12.473 -1.538 -3.734 Mg
5.106 -3.043 4.765 Mg
7.641 -2.956 3.958 S
2.065 -1.225 -3.719 S
12.601 -2.445 0.705 S
6.204 -2.198 0.448 S
10.984 -3.053 3.938 S
5.330 -1.463 -3.035 S
10.311 -1.205 -5.050 S
2.704 -3.144 5.621 S
```

Summary:
Space-group type: Cmc2_1
Crystal system: orthorhombic
Spin magnetization in μB per formula unit: 0.000

***

#two
Er2MgS4 after structural relaxation, computed with GGA-PBE.

The structure in POSCAR format:
```
Er2MgS4
1.0
3.823 0.000 0.000
0.000 12.543 0.000
0.000 0.000 13.328
Er Mg S
8 4 16
Cartesian
0.956 1.470 1.010 Er
2.868 11.074 12.318 Er
2.868 4.802 7.674 Er
0.956 7.741 5.654 Er
0.956 1.736 9.395 Er
2.868 10.807 3.933 Er
2.868 4.536 2.731 Er
0.956 8.008 10.597 Er
2.868 1.406 6.034 Mg
0.956 11.138 7.294 Mg
0.956 4.866 12.698 Mg
2.868 7.677 0.630 Mg
2.868 0.109 8.221 S
0.956 12.434 5.107 S
0.956 6.163 1.557 S
2.868 6.381 11.771 S
0.956 0.344 11.775 S
2.868 12.199 1.553 S
2.868 5.927 5.111 S
0.956 6.616 8.217 S
0.956 2.836 3.312 S
2.868 9.707 10.016 S
2.868 3.435 9.976 S
0.956 9.108 3.352 S
2.868 3.276 0.219 S
0.956 9.267 13.109 S
0.956 2.996 6.883 S
2.868 9.548 6.445 S
```

Summary:
Space-group type: Pnma
Crystal system: orthorhombic
Spin magnetization in μB per formula unit: 0.000

***

Most stable: #one (next structure +42 meV per atom)